Entry 1:
A plane-wave DFT calculation with GGA-PBE was carried out for a geometry-optimized Rb3TbPu2Se6 structure.

Summary:
For the formation energy from raw total energies, the calculation gives -148 kJ per mole of atoms. As for the symmetry: C2/m.

a = 7.4455 Å, b = 7.4455 Å, c = 8.3525 Å
α = 98.54°, β = 98.54°, γ = 120.00°
Site moments in Bohr magnetons follow the coordinates.
Fractional coordinates of all 12 atoms:
Rb  0.1665  0.8335  0.5000  0.00
Tb  0.0000  0.0000  0.0000  -0.03
Se  0.7332  0.7332  0.1954  0.07
Se  0.9348  0.6029  0.8044  0.07
Se  0.2668  0.2668  0.8046  0.07
Rb  0.8335  0.1665  0.5000  0.00
Se  0.6029  0.9348  0.8044  0.07
Se  0.0652  0.3971  0.1956  0.07
Pu  0.3333  0.6667  0.0000  -5.12
Se  0.3971  0.0652  0.1956  0.07
Pu  0.6667  0.3333  0.0000  -5.12
Rb  0.5000  0.5000  0.5000  0.00



Entry 2:
A plane-wave DFT calculation with GGA-PBE was carried out for a geometry-optimized Rb3Tb3PuSe8 structure.

Summary:
For the formation energy from raw total energies, the calculation gives -159 kJ per mole of atoms. As for the symmetry: C2/m.

a = 8.4299 Å, b = 8.4313 Å, c = 9.4864 Å
α = 116.38°, β = 89.97°, γ = 120.05°
Site moments in Bohr magnetons follow the coordinates.
Fractional coordinates of all 15 atoms:
Se  0.7716  0.0364  0.3092  -0.08
Se  0.2648  0.0366  0.3093  -0.08
Rb  0.0000  0.0000  0.0000  0.00
Tb  0.5000  0.0000  0.5000  0.00
Tb  0.5000  0.5000  0.5000  0.00
Se  0.2284  0.9636  0.6908  -0.08
Se  0.7717  0.5439  0.3091  -0.08
Se  0.7352  0.9634  0.6907  -0.08
Se  0.2675  0.5356  0.3047  0.00
Rb  0.5000  0.5000  0.0000  0.00
Tb  0.0000  0.5000  0.5000  0.00
Se  0.2283  0.4561  0.6909  -0.08
Pu  0.0000  0.0000  0.5000  4.66
Rb  0.0000  0.5000  0.0000  0.00
Se  0.7325  0.4644  0.6953  0.00



Entry 3:
A plane-wave DFT calculation with GGA-PBE was carried out for a geometry-optimized Rb3TbPu3Se8 structure.

Summary:
For the formation energy from raw total energies, the calculation gives -142 kJ per mole of atoms. As for the symmetry: C2/m.

a = 8.5002 Å, b = 8.5142 Å, c = 9.4463 Å
α = 116.73°, β = 90.00°, γ = 119.95°
Site moments in Bohr magnetons follow the coordinates.
Fractional coordinates of all 15 atoms:
Se  0.2308  0.4615  0.6896  -0.11
Pu  0.5000  0.0000  0.5000  -4.91
Se  0.7692  0.5385  0.3104  -0.11
Rb  0.0000  0.0000  0.0000  0.00
Se  0.2310  0.9613  0.6915  0.01
Se  0.7690  0.0387  0.3085  0.01
Rb  0.0000  0.5000  0.0000  0.00
Pu  0.0000  0.5000  0.5000  4.94
Se  0.7319  0.4638  0.6936  -0.04
Tb  0.0000  0.0000  0.5000  0.00
Se  0.2696  0.0387  0.3085  0.01
Se  0.7304  0.9613  0.6915  0.01
Pu  0.5000  0.5000  0.5000  4.94
Se  0.2681  0.5362  0.3064  -0.04
Rb  0.5000  0.5000  0.0000  0.00



Entry 4:
A plane-wave DFT calculation with GGA-PBE was carried out for a geometry-optimized Rb2TbPuSe4 structure.

Summary:
For the formation energy from raw total energies, the calculation gives -153 kJ per mole of atoms. As for the symmetry: P2/m.

a = 4.2925 Å, b = 7.4504 Å, c = 8.3484 Å
α = 107.28°, β = 90.00°, γ = 90.00°
Site moments in Bohr magnetons follow the coordinates.
Fractional coordinates of all 8 atoms:
Se  0.5000  0.2335  0.1947  -0.07
Se  0.0000  0.7287  0.1964  -0.03
Rb  0.0000  0.5000  0.5000  0.00
Pu  0.0000  0.0000  0.0000  5.11
Tb  0.5000  0.5000  0.0000  0.02
Se  0.5000  0.7665  0.8053  -0.07
Rb  0.5000  0.0000  0.5000  0.00
Se  0.0000  0.2713  0.8036  -0.03